[1]
Computed, not measured: an optimized crystal structure of CaBe2Rh at the PBE-GGA level of DFT.

a b c (Å): 3.0222 3.0222 6.4260
angles (deg): 90.00 90.00 90.01
With the nearest neighbours (Å) after each atom.
Atoms (fractional coordinates):
Be  0.0000  0.0000  0.9194  1 Be 2.18, 4 Rh 2.40
Be  0.0000  0.0000  0.5806  1 Be 2.18, 4 Rh 2.40
Ca  0.5000  0.5000  0.2500  8 Be 3.01, 4 Ca 3.02, 2 Rh 3.21
Rh  0.5000  0.5000  0.7500  8 Be 2.40

Properties
- relative energy among the computed polymorphs (meV per atom) = 167
- energy relative to the elements (meV per atom) = -175.2
- symmetry = P4/mmm, No. 123
- total DFT energy (no corrections) (eV/atom) = -4.38
- total magnetic moment (μB/f.u.) = 0.00
- density (kg/m³) = 4555

---

[2]
Computed, not measured: an optimized crystal structure of CaBe2Rh at the PBE-GGA level of DFT.

a b c (Å): 3.9607 3.9597 3.8237
angles (deg): 90.00 90.00 90.00
With the nearest neighbours (Å) after each atom.
Atoms (fractional coordinates):
Be  0.0000  0.0000  0.0000  4 Rh 2.75, 4 Ca 2.75, 4 Be 2.80
Be  0.5000  0.5000  0.0000  4 Ca 2.75, 4 Rh 2.75, 4 Be 2.80
Ca  0.5000  0.0000  0.5000  8 Be 2.75, 4 Rh 2.80
Rh  0.0000  0.5000  0.5000  8 Be 2.75, 4 Ca 2.80

Properties
- relative energy among the computed polymorphs (meV per atom) = 601
- energy relative to the elements (meV per atom) = 259.2
- symmetry = P4/mmm, No. 123
- total DFT energy (no corrections) (eV/atom) = -3.94
- total magnetic moment (μB/f.u.) = 0.00
- density (kg/m³) = 4458

---

[3]
Computed, not measured: an optimized crystal structure of CaBe2Rh at the PBE-GGA level of DFT.

a b c (Å): 5.0270 5.0270 5.0270
angles (deg): 144.93 124.69 67.19
With the nearest neighbours (Å) after each atom.
Atoms (fractional coordinates):
Be  0.0003  0.0003  0.0000  2 Rh 2.28, 2 Be 2.29
Be  0.7958  0.2958  0.5000  2 Be 2.29
Ca  0.4995  0.4995  0.0000  8 Be 2.78-2.91, 4 Rh 2.90, 2 Ca 3.03
Rh  0.2043  0.7043  0.5000  2 Be 2.28

Properties
- relative energy among the computed polymorphs (meV per atom) = 455
- energy relative to the elements (meV per atom) = 112.8
- symmetry = Imm2, No. 44
- total DFT energy (no corrections) (eV/atom) = -4.09
- total magnetic moment (μB/f.u.) = 0.00
- density (kg/m³) = 4518

---

[4]
Computed, not measured: an optimized crystal structure of CaBeRh4 at the PBE-GGA level of DFT.

a b c (Å): 5.1879 5.1879 5.1879
angles (deg): 60.00 60.00 60.00
With the nearest neighbours (Å) after each atom.
Atoms (fractional coordinates):
Ca  0.0000  0.0000  0.0000  12 Rh 3.04, 4 Be 3.18
Be  0.7500  0.7500  0.7500  12 Rh 3.04, 4 Ca 3.18
Rh  0.8731  0.3756  0.3756  6 Rh 2.58-2.61
Rh  0.3756  0.3756  0.8731  6 Rh 2.58-2.61
Rh  0.3756  0.8731  0.3756  6 Rh 2.58-2.61
Rh  0.3756  0.3756  0.3756  6 Rh 2.58-2.61

Properties
- energy relative to the elements (meV per atom) = 40.7
- symmetry = F-43m, No. 216
- total DFT energy (no corrections) (eV/atom) = -5.81
- total magnetic moment (μB/f.u.) = 0.01
- density (kg/m³) = 7748

---

[5]
Computed, not measured: an optimized crystal structure of CaBe2Rh at the PBE-GGA level of DFT.

a b c (Å): 4.7570 4.7570 4.7570
angles (deg): 131.09 131.09 71.66
With the nearest neighbours (Å) after each atom.
Atoms (fractional coordinates):
Be  0.0000  0.0000  0.0000  4 Rh 2.76, 4 Be 2.76, 4 Ca 2.78
Be  0.2500  0.7500  0.5000  4 Ca 2.76, 4 Be 2.76, 4 Rh 2.78
Ca  0.5000  0.5000  0.0000  8 Be 2.76-2.78, 4 Rh 2.76
Rh  0.7500  0.2500  0.5000  4 Ca 2.76, 8 Be 2.76-2.78

Properties
- relative energy among the computed polymorphs (meV per atom) = 603
- energy relative to the elements (meV per atom) = 260.8
- symmetry = I-4m2, No. 119
- total DFT energy (no corrections) (eV/atom) = -3.94
- total magnetic moment (μB/f.u.) = 0.00
- density (kg/m³) = 4470

---

[6]
Computed, not measured: an optimized crystal structure of CaBe2Rh at the PBE-GGA level of DFT.

a b c (Å): 4.5770 4.5770 4.5770
angles (deg): 131.64 123.28 77.69
With the nearest neighbours (Å) after each atom.
Atoms (fractional coordinates):
Be  0.0266  0.0266  0.0000  2 Rh 2.46, 4 Ca 2.69-2.72
Be  0.4734  0.4734  0.0000  2 Rh 2.46, 4 Ca 2.69-2.72
Ca  0.7500  0.2500  0.5000  8 Be 2.69-2.72, 4 Rh 2.87
Rh  0.2500  0.7500  0.5000  4 Be 2.46

Properties
- relative energy among the computed polymorphs (meV per atom) = 377
- energy relative to the elements (meV per atom) = 35.2
- symmetry = Immm, No. 71
- total DFT energy (no corrections) (eV/atom) = -4.17
- total magnetic moment (μB/f.u.) = 0.00
- density (kg/m³) = 4600